1.
La8Co4Ag: relaxed, GGA-PBE.

Cell lengths 13.055, 8.330, 9.584 Å; angles 90.00, 131.43, 90.00 degrees
Space group C2/m (No. 12)
Inequivalent atoms, fractional coordinates:
La 0.059 0.228 0.332 x8
La 0.191 0.500 0.175 x4
La 0.192 0.000 0.144 x4
Co 0.000 0.247 0.000 x4
Co 0.219 0.500 0.500 x4
Ag 0.000 0.500 0.500 x2

## Properties
- DFT total energy (eV/atom) = -5.54
- size of the total moment (μB/f.u.) = 0.0
- formation enthalpy at 0 K (meV per atom) = -97

2.
CrHgSe2: relaxed, GGA-PBE.

Cell lengths 3.102, 3.253, 19.659 Å; angles 90.00, 90.00, 90.00 degrees
Space group Imm2 (No. 44)
Inequivalent atoms, fractional coordinates:
Cr 0.000 0.000 0.000 x2
Hg 0.000 0.500 0.758 x2
Se 0.000 0.000 0.436 x2
Se 0.000 0.500 0.093 x2

## Properties
- DFT total energy (eV/atom) = -4.41
- formation energy without anion corrections (meV/atom) = -188
- size of the total moment (μB/f.u.) = 2.5

3.
ZrBiSe3: relaxed, GGA-PBE.

Cell lengths 5.389, 5.389, 5.389 Å; angles 90.00, 90.00, 90.00 degrees
Space group Pm-3m (No. 221)
Inequivalent atoms, fractional coordinates:
Zr 0.000 0.000 0.000 x1
Bi 0.500 0.500 0.500 x1
Se 0.000 0.500 0.500 x3

## Properties
- DFT total energy (eV/atom) = -4.08
- formation energy without anion corrections (meV/atom) = 493
- size of the total moment (μB/f.u.) = 1.1

4.
Y6AlTe3Se2: relaxed, GGA-PBE.

Cell lengths 18.771, 4.168, 8.698 Å; angles 90.00, 104.95, 90.00 degrees
Space group C2/m (No. 12)
Inequivalent atoms, fractional coordinates:
Y 0.004 0.000 0.238 x4
Y 0.159 0.500 0.095 x4
Y 0.173 0.500 0.566 x4
Al 0.000 0.500 0.000 x2
Te 0.000 0.500 0.500 x2
Te 0.169 0.000 0.830 x4
Se 0.168 0.000 0.334 x4

## Properties
- DFT total energy (eV/atom) = -6.23
- formation energy without anion corrections (meV/atom) = -1324
- size of the total moment (μB/f.u.) = 0.0

5.
CoW2Se: relaxed, GGA-PBE.

Cell lengths 2.951, 2.951, 6.660 Å; angles 90.00, 90.00, 90.00 degrees
Space group P4/mmm (No. 123)
Inequivalent atoms, fractional coordinates:
Co 0.000 0.000 0.000 x1
W 0.500 0.500 0.244 x2
Se 0.000 0.000 0.500 x1

## Properties
- DFT total energy (eV/atom) = -8.80
- formation energy without anion corrections (meV/atom) = 329
- size of the total moment (μB/f.u.) = 1.0

6.
Ta2ReH2: relaxed, GGA-PBE.

Cell lengths 3.093, 3.093, 6.226 Å; angles 90.00, 90.00, 90.00 degrees
Space group P4/mmm (No. 123)
Inequivalent atoms, fractional coordinates:
Ta 0.000 0.000 0.234 x2
Re 0.500 0.500 0.500 x1
H 0.000 0.500 0.000 x2

## Properties
- DFT total energy (eV/atom) = -8.66
- size of the total moment (μB/f.u.) = 0.0

7.
MgBe2Zn: relaxed, GGA-PBE.

Cell lengths 2.835, 2.835, 6.356 Å; angles 90.00, 90.00, 90.00 degrees
Space group P4mm (No. 99)
Inequivalent atoms, fractional coordinates:
Mg 0.000 0.000 0.000 x1
Be 0.000 0.000 0.560 x1
Be 0.500 0.500 0.716 x1
Zn 0.500 0.500 0.326 x1

## Properties
- DFT total energy (eV/atom) = -2.36
- size of the total moment (μB/f.u.) = 0.0
- formation enthalpy at 0 K (meV per atom) = 219

8.
Nd3TePb: relaxed, GGA-PBE.

Cell lengths 8.637, 4.542, 16.861 Å; angles 90.00, 90.00, 90.00 degrees
Space group Pnma (No. 62)
Inequivalent atoms, fractional coordinates:
Nd 0.015 0.250 0.108 x4
Nd 0.138 0.250 0.556 x4
Nd 0.160 0.750 0.274 x4
Te 0.220 0.250 0.949 x4
Pb 0.117 0.750 0.699 x4

## Properties
- DFT total energy (eV/atom) = -5.05
- formation energy without anion corrections (meV/atom) = -823
- size of the total moment (μB/f.u.) = 0.0

9.
ThBe4: relaxed, GGA-PBE.

Cell lengths 5.136, 5.136, 5.136 Å; angles 90.00, 90.00, 90.00 degrees
Space group Pm-3m (No. 221)
Inequivalent atoms, fractional coordinates:
Th 0.000 0.000 0.000 x1
Be 0.000 0.000 0.500 x3
Be 0.500 0.500 0.500 x1

## Properties
- DFT total energy (eV/atom) = -2.02
- size of the total moment (μB/f.u.) = 0.0
- formation enthalpy at 0 K (meV per atom) = 2445

10.
SrTl4Ru: relaxed, GGA-PBE.

Cell lengths 8.774, 8.774, 8.774 Å; angles 90.00, 90.00, 90.00 degrees
Space group F-43m (No. 216)
Inequivalent atoms, fractional coordinates:
Sr 0.000 0.000 0.000 x4
Tl 0.124 0.124 0.624 x16
Ru 0.250 0.250 0.250 x4

## Properties
- DFT total energy (eV/atom) = -2.93
- size of the total moment (μB/f.u.) = 1.6
- formation enthalpy at 0 K (meV per atom) = 479

11.
CrSbS2: relaxed, GGA-PBE.

Cell lengths 5.222, 5.222, 12.109 Å; angles 90.00, 90.00, 90.00 degrees
Space group I4_1/amd (No. 141, origin choice 2)
Inequivalent atoms, fractional coordinates:
Cr 0.000 0.250 0.375 x4
Sb 0.000 0.250 0.875 x4
S 0.000 0.250 0.173 x8

## Properties
- DFT total energy (eV/atom) = -5.61
- formation energy without anion corrections (meV/atom) = -115
- size of the total moment (μB/f.u.) = 3.5

12.
SrSmAgAu: relaxed, GGA-PBE.

Cell lengths 4.850, 3.990, 11.564 Å; angles 90.00, 90.00, 90.00 degrees
Space group Amm2 (No. 38)
Inequivalent atoms, fractional coordinates:
Sr 0.000 0.000 0.000 x2
Sm 0.500 0.000 0.724 x2
Ag 0.500 0.000 0.435 x2
Au 0.000 0.000 0.274 x2

## Properties
- DFT total energy (eV/atom) = -3.64
- size of the total moment (μB/f.u.) = 0.0
- formation enthalpy at 0 K (meV per atom) = -504

13.
NaLiTm2Te4: relaxed, GGA-PBE.

Cell lengths 7.531, 4.350, 7.727 Å; angles 90.00, 108.94, 90.00 degrees
Space group P2/m (No. 10)
Inequivalent atoms, fractional coordinates:
Na 0.000 0.000 0.000 x1
Li 0.500 0.500 0.000 x1
Tm 0.000 0.500 0.500 x1
Tm 0.500 0.000 0.500 x1
Te 0.251 0.000 0.741 x2
Te 0.258 0.500 0.262 x2

## Properties
- DFT total energy (eV/atom) = -4.37
- formation energy without anion corrections (meV/atom) = -1273
- size of the total moment (μB/f.u.) = 0.0

14.
TmLuBeAg: relaxed, GGA-PBE.

Cell lengths 6.964, 6.964, 6.964 Å; angles 90.00, 90.00, 90.00 degrees
Space group F-43m (No. 216)
Inequivalent atoms, fractional coordinates:
Tm 0.000 0.000 0.000 x4
Lu 0.000 0.000 0.500 x4
Be 0.250 0.250 0.750 x4
Ag 0.250 0.250 0.250 x4

## Properties
- DFT total energy (eV/atom) = -3.98
- size of the total moment (μB/f.u.) = 0.0
- formation enthalpy at 0 K (meV per atom) = -89

15.
Tl4TeAu: relaxed, GGA-PBE.

Cell lengths 9.116, 9.116, 9.116 Å; angles 90.00, 90.00, 90.00 degrees
Space group F-43m (No. 216)
Inequivalent atoms, fractional coordinates:
Tl 0.125 0.125 0.125 x16
Te 0.000 0.000 0.500 x4
Au 0.250 0.250 0.750 x4

## Properties
- DFT total energy (eV/atom) = -2.46
- formation energy without anion corrections (meV/atom) = 183
- size of the total moment (μB/f.u.) = 0.0

16.
TaTi2ZnH: relaxed, GGA-PBE.

Cell lengths 4.019, 4.019, 4.178 Å; angles 90.00, 90.00, 90.00 degrees
Space group P4/mmm (No. 123)
Inequivalent atoms, fractional coordinates:
Ta 0.000 0.000 0.000 x1
Ti 0.000 0.500 0.500 x2
Zn 0.500 0.500 0.000 x1
H 0.500 0.500 0.500 x1

## Properties
- DFT total energy (eV/atom) = -6.51
- size of the total moment (μB/f.u.) = 0.0